4
Lattice="0.000 3.188 3.188 3.188 0.000 3.188 3.188 3.188 0.000" Properties=species:S:1:pos:R:3 comment="PBE Ti2PtCl, relaxed" spacegroup="No. 225" e_above_lowest_polymorph_ev_per_atom=0.031 pbc="T T T"
Cl 0.000 0.000 0.000
Ti 4.782 4.782 4.782
Ti 1.594 1.594 1.594
Pt 3.188 3.188 3.188

---

6
Lattice="-1.913 1.002 2.517 -3.738 -3.680 0.809 4.323 -2.853 6.607" Properties=species:S:1:pos:R:3 comment="PBE TiPtCl, relaxed" spacegroup="No. 12" pbc="T T T"
Ti -0.430 -1.102 4.482
Ti -0.898 -4.428 5.451
Pt 1.448 -2.763 4.386
Pt -2.776 -2.767 5.547
Cl -0.455 -4.253 7.903
Cl -0.873 -1.277 2.030

---

22
Lattice="-4.711 6.018 3.771 -6.905 -4.940 -0.742 1.786 -3.724 8.174" Properties=species:S:1:pos:R:3 comment="PBE Tl4PtCl6, relaxed" spacegroup="No. 128" pbc="T T T"
Cl -7.979 1.629 2.485
Cl -3.336 1.858 6.706
Cl 1.384 -2.886 6.335
Cl -7.176 -1.587 0.844
Cl -6.494 -4.504 4.497
Cl -4.440 2.666 2.185
Cl -1.627 -2.517 4.339
Cl -5.317 -0.485 3.762
Cl -4.514 -2.161 7.441
Cl -8.204 -0.129 6.864
Cl 0.402 -0.838 1.839
Cl -3.638 -0.551 0.544
Tl -4.990 0.585 9.052
Tl -5.883 2.447 4.965
Tl -8.468 -1.132 3.899
Tl -4.841 -3.231 2.151
Tl -3.948 -5.093 6.237
Tl -7.575 -2.994 7.986
Tl -2.256 0.348 3.216
Tl -1.363 -1.515 7.303
Pt -5.808 0.539 1.514
Pt 0.893 -1.862 4.087

---

4
Lattice="-2.740 -2.341 1.282 1.906 -3.909 -3.065 3.649 -2.721 2.832" Properties=species:S:1:pos:R:3 comment="PBE TlPtCl2, relaxed" spacegroup="No. 10" e_above_lowest_polymorph_ev_per_atom=0.000 pbc="T T T"
Cl 2.369 -2.824 -0.093
Cl 0.409 -0.491 -0.023
Tl 2.796 -6.143 0.466
Pt 0.019 -2.828 0.583

---

6
Lattice="0.000 4.434 4.434 4.434 0.000 4.434 4.434 4.434 0.000" Properties=species:S:1:pos:R:3 comment="PBE Tl4PtCl, relaxed" spacegroup="No. 216" pbc="T T T"
Tl 5.545 3.323 5.545
Tl 5.545 5.545 3.323
Tl 3.323 3.323 3.323
Tl 3.323 5.545 5.545
Pt 0.000 0.000 0.000
Cl 6.651 6.651 6.651

---

4
Lattice="3.214 0.046 0.000 -1.046 3.039 0.000 0.000 0.000 8.451" Properties=species:S:1:pos:R:3 comment="PBE TlPt2Cl, relaxed" spacegroup="No. 35" e_above_lowest_polymorph_ev_per_atom=0.163 pbc="T T T"
Cl 1.084 1.542 6.828
Tl 0.000 0.000 4.030
Pt 1.084 1.542 1.795
Pt 0.000 0.000 0.024

---

4
Lattice="-1.645 3.335 -7.454 -2.586 0.063 -7.918 -3.571 0.984 0.308" Properties=species:S:1:pos:R:3 comment="PBE TlPtCl2, relaxed" spacegroup="No. 8" e_above_lowest_polymorph_ev_per_atom=0.205 pbc="T T T"
Cl -3.578 0.990 0.279
Cl -1.916 0.993 -3.115
Tl -5.884 3.423 -12.195
Pt -3.896 2.150 -7.257

---

4
Lattice="6.771 -0.011 -0.007 5.443 4.026 -0.007 5.443 1.790 3.607" Properties=species:S:1:pos:R:3 comment="PBE TlPtCl2, relaxed" spacegroup="No. 166" e_above_lowest_polymorph_ev_per_atom=0.246 pbc="T T T"
Cl 0.445 0.146 0.091
Cl 8.384 2.756 1.706
Tl 4.414 1.451 0.898
Pt 13.243 4.354 2.695

---

4
Lattice="-1.308 2.952 -0.043 -1.800 -2.584 0.712 1.905 0.966 8.322" Properties=species:S:1:pos:R:3 comment="PBE TlPt2Cl, relaxed" spacegroup="No. 65" e_above_lowest_polymorph_ev_per_atom=0.263 pbc="T T T"
Cl -0.125 0.908 6.576
Pt 1.895 0.961 8.280
Pt 0.962 0.488 4.203
Tl -1.078 0.425 2.415

---

4
Lattice="-2.382 -5.853 3.969 1.397 -5.952 4.280 -0.628 -3.628 6.491" Properties=species:S:1:pos:R:3 comment="PBE TlPt2Cl, relaxed" spacegroup="No. 160" e_above_lowest_polymorph_ev_per_atom=0.076 pbc="T T T"
Tl -0.829 -7.931 7.576
Cl -1.171 -11.204 10.702
Pt -0.423 -4.051 3.869
Pt -1.609 -15.395 14.705

---

8
Lattice="-3.973 -0.807 -4.009 -0.493 -5.454 1.587 -7.531 -1.235 3.657" Properties=species:S:1:pos:R:3 comment="PBE TlPtCl2, relaxed" spacegroup="No. 122" e_above_lowest_polymorph_ev_per_atom=0.182 pbc="T T T"
Cl -3.152 -3.913 0.936
Cl -3.963 -1.401 -0.924
Cl -9.499 -5.768 0.438
Cl -7.381 -3.912 2.020
Pt -5.129 -4.910 2.017
Pt -2.233 -3.131 -1.211
Tl -6.869 -2.587 -0.782
Tl 0.000 0.000 0.000

---

4
Lattice="4.346 0.000 0.000 0.000 4.156 0.000 0.000 0.000 4.156" Properties=species:S:1:pos:R:3 comment="PBE TlPt2Cl, relaxed" spacegroup="No. 123" e_above_lowest_polymorph_ev_per_atom=0.373 pbc="T T T"
Pt 0.000 0.000 0.000
Pt 0.000 2.078 2.078
Cl 2.173 0.000 2.078
Tl 2.173 2.078 0.000

---

Number 1: spin magnetization 0.00 μB per formula unit, VASP energy -25.19 eV for the cell shown. Number 2: spin magnetization 0.00 μB per formula unit, VASP energy -37.09 eV for the cell shown. Number 3: spin magnetization 2.01 μB per formula unit, VASP energy -69.56 eV for the cell shown. Number 4: spin magnetization 0.00 μB per formula unit, VASP energy -13.37 eV for the cell shown. Number 5: spin magnetization 0.00 μB per formula unit, VASP energy -15.79 eV for the cell shown. Number 6: spin magnetization 0.00 μB per formula unit, VASP energy -15.42 eV for the cell shown. Number 7: spin magnetization 0.00 μB per formula unit, VASP energy -12.55 eV for the cell shown. Number 8: spin magnetization 1.02 μB per formula unit, VASP energy -12.39 eV for the cell shown. Number 9: spin magnetization 0.00 μB per formula unit, VASP energy -15.02 eV for the cell shown. Number 10: spin magnetization 0.00 μB per formula unit, VASP energy -15.77 eV for the cell shown. Number 11: spin magnetization 0.00 μB per formula unit, VASP energy -25.29 eV for the cell shown. Number 12: spin magnetization 0.00 μB per formula unit, VASP energy -14.59 eV for the cell shown.